A plane-wave DFT calculation with PBE with a Hubbard U was carried out for crystalline NpMnFe2O8 at its relaxed geometry.

Cell: 4.718 4.717 6.224 Å, 90.00 90.00 91.31°
Each line ends with the local moment (μB).
Atoms (fractional coordinates):
Mn1 0.000 0.000 0.500  3.39
O1 0.300 0.299 0.500  0.19
O2 0.808 0.192 0.737  0.03
O3 0.309 0.309 0.000  0.12
O4 0.808 0.192 0.263  0.03
O5 0.192 0.808 0.263  0.03
O6 0.691 0.691 0.000  0.12
O7 0.192 0.808 0.737  0.03
O8 0.700 0.701 0.500  0.19
Np1 0.000 0.000 0.000  -0.89
Fe1 0.500 0.500 0.267  4.33
Fe2 0.500 0.500 0.733  4.33

Properties
Total magnetic moment (μB/f.u.): 12.14
Electronic total energy (eV per atom): -7.7603